[1]
## In6HgAu10 (GGA-PBE)

Data for In6HgAu10 after structural relaxation.

Computed properties:
**Formation enthalpy at 0 K**: -126 meV per atom
**V**: 21.6 Å³/atom
**E_tot**: -3.04 eV per atom

Lattice parameters (Å, degrees): 7.4017 7.4518 7.7359 95.78 117.20 99.22
Space group P-1 (No. 2)
Inequivalent atoms, fractional coordinates:
In1 0.0197 0.2188 0.0646 [2 per cell]
In2 0.3429 0.7296 0.4176 [2 per cell]
In3 0.4099 0.2240 0.8572 [2 per cell]
Hg1 0.0000 0.0000 0.5000 [1 per cell]
Au1 0.1061 0.4412 0.8231 [2 per cell]
Au2 0.1696 0.3781 0.4761 [2 per cell]
Au3 0.2641 0.8085 0.7692 [2 per cell]
Au4 0.3523 0.0227 0.2146 [2 per cell]
Au5 0.4336 0.4317 0.2174 [2 per cell]

[2]
## InHg2Au (GGA-PBE)

Data for InHg2Au after structural relaxation.

Computed properties:
**Formation enthalpy at 0 K**: -24 meV per atom
**V**: 24.4 Å³/atom
**E_tot**: -1.68 eV per atom

Lattice parameters (Å, degrees): 4.1622 4.1512 5.8639 90.00 105.44 90.00
Space group Pm (No. 6)
Inequivalent atoms, fractional coordinates:
In1 0.0000 0.0000 0.0000 [1 per cell]
Hg1 0.1503 0.0000 0.5271 [1 per cell]
Hg2 0.5971 0.5000 0.3779 [1 per cell]
Au1 0.4995 0.5000 0.8746 [1 per cell]